This record from the Alexandria database describes an optimized crystal structure of GdScCuSi. The functional is PBE.

a = 4.8077 Å, b = 4.8077 Å, c = 4.8077 Å
α = 60.00°, β = 60.00°, γ = 60.00°
Last column: nearest neighbours and their distance in Å.
Fractional coordinates of all 4 atoms:
Gd 0.0000 0.0000 0.0000  4 Si 2.94, 4 Cu 2.94
Sc 0.5000 0.5000 0.5000  4 Si 2.94, 4 Cu 2.94
Cu 0.2500 0.2500 0.2500  4 Gd 2.94, 4 Sc 2.94
Si 0.7500 0.7500 0.7500  4 Gd 2.94, 4 Sc 2.94

## Properties
Space-group type: F-43m (216)
Density of states at the Fermi level: 0.815 states/eV per atom
Formation energy without anion corrections: -42 kJ per mole of atoms
Theoretical density: 6.21 g/cm³
E: -31.653 eV/cell

***

This record from the Alexandria database describes an optimized crystal structure of PrDy5Y5. The functional is PBE.

a = 6.1131 Å, b = 6.1131 Å, c = 11.5154 Å
α = 90.00°, β = 90.00°, γ = 120.00°
Last column: nearest neighbours and their distance in Å.
Fractional coordinates of all 11 atoms:
Pr 0.0000 0.0000 0.0000  5 Y 3.53-3.76
Dy 0.0028 0.5014 0.5000  6 Dy 3.03-3.23
Dy 0.4986 0.5014 0.5000  6 Dy 3.03-3.23
Dy 0.4986 0.9972 0.5000  6 Dy 3.03-3.23
Dy 0.6667 0.3333 0.2658  1 Y 3.06, 3 Dy 3.23
Dy 0.6667 0.3333 0.7342  1 Y 3.06, 3 Dy 3.23
Y 0.0000 0.0000 0.3269  9 Dy 3.60-3.65, 1 Pr 3.76, 4 Y 3.99-4.01
Y 0.0000 0.0000 0.6731  9 Dy 3.60-3.65, 1 Pr 3.76, 4 Y 3.99-4.01
Y 0.3333 0.6667 0.1616  7 Y 3.72-4.01, 3 Dy 3.73, 3 Pr 3.99
Y 0.3333 0.6667 0.8384  7 Y 3.72-4.01, 3 Dy 3.73, 3 Pr 3.99
Y 0.6667 0.3333 0.0000  2 Dy 3.06

## Properties
Space-group type: P-6m2 (187)
Density of states at the Fermi level: 1.767 states/eV per atom
Energy relative to the elements: 28.3 kJ per mole of atoms
Theoretical density: 6.23 g/cm³
E: -56.884 eV/cell

***

This record from the Alexandria database describes an optimized crystal structure of H5Pd6Pb. The functional is PBE.

a = 5.2709 Å, b = 5.4918 Å, c = 5.5690 Å
α = 118.02°, β = 96.84°, γ = 98.57°
Last column: nearest neighbours and their distance in Å.
Fractional coordinates of all 12 atoms:
H 0.0000 0.0000 0.0000  2 Pd 1.71
H 0.3463 0.4710 0.1133  4 Pd 1.85-2.02
H 0.3635 0.0411 0.6722  4 Pd 1.84-1.94
H 0.6365 0.9589 0.3278  4 Pd 1.84-1.94
H 0.6537 0.5290 0.8867  4 Pd 1.85-2.02
Pd 0.0637 0.1707 0.8162  1 H 1.71
Pd 0.3953 0.7303 0.9766  3 H 1.85-1.91
Pd 0.4550 0.2413 0.4950  3 H 1.84-2.02
Pd 0.5450 0.7587 0.5050  3 H 1.84-2.02
Pd 0.6047 0.2697 0.0234  3 H 1.85-1.91
Pd 0.9363 0.8293 0.1838  1 H 1.71
Pb 0.0000 0.5000 0.5000  8 Pd 2.78-3.08, 6 H 2.85-2.95

## Properties
Space-group type: P-1 (2)
Density of states at the Fermi level: 0.267 states/eV per atom
Theoretical density: 10.28 g/cm³
E: -52.205 eV/cell

***

This record from the Alexandria database describes an optimized crystal structure of K5Bi2F12. The functional is PBE.

a = 7.8423 Å, b = 7.8423 Å, c = 6.6251 Å
α = 97.58°, β = 97.58°, γ = 63.35°
Last column: nearest neighbours and their distance in Å.
Fractional coordinates of all 19 atoms:
K 0.0000 0.0000 0.0000  6 F 2.63-2.68
K 0.2398 0.2398 0.4659  5 F 2.64-2.68
K 0.3582 0.3582 0.9766  3 F 2.60-2.65
K 0.6418 0.6418 0.0234  3 F 2.60-2.65
K 0.7602 0.7602 0.5341  5 F 2.64-2.68
Bi 0.2517 0.7483 0.5000  8 F 2.26-2.42
Bi 0.7483 0.2517 0.5000  8 F 2.26-2.42
F 0.0727 0.0727 0.6449  2 Bi 2.42, 3 F 2.51-2.71, 2 K 2.68
F 0.0983 0.6963 0.7369  1 Bi 2.28
F 0.1617 0.5492 0.2847  1 Bi 2.26
F 0.3037 0.9017 0.2631  1 Bi 2.28
F 0.4508 0.8383 0.7153  1 Bi 2.26
F 0.4586 0.4586 0.6610  2 Bi 2.41, 3 F 2.55-2.67, 1 K 2.65
F 0.5414 0.5414 0.3390  2 Bi 2.41, 3 F 2.55-2.67, 1 K 2.65
F 0.5492 0.1617 0.2847  1 Bi 2.26
F 0.6963 0.0983 0.7369  1 Bi 2.28
F 0.8383 0.4508 0.7153  1 Bi 2.26
F 0.9017 0.3037 0.2631  1 Bi 2.28
F 0.9273 0.9273 0.3551  2 Bi 2.42, 3 F 2.51-2.71, 2 K 2.68

## Properties
Space-group type: C2/m (12)
Density of states at the Fermi level: 0.375 states/eV per atom
Formation energy without anion corrections: -246 kJ per mole of atoms
Theoretical density: 3.88 g/cm³
E: -84.121 eV/cell

***

This record from the Alexandria database describes an optimized crystal structure of TiNbO2F. The functional is PBE.

a = 4.0506 Å, b = 4.0506 Å, c = 4.1598 Å
α = 90.00°, β = 90.00°, γ = 90.00°
Last column: nearest neighbours and their distance in Å.
Fractional coordinates of all 5 atoms:
Ti 0.0000 0.0000 0.0000  4 F 2.86, 8 O 2.90
Nb 0.5000 0.5000 0.5000  4 O 2.03, 2 F 2.08
O 0.0000 0.5000 0.5000  2 Nb 2.03
O 0.5000 0.0000 0.5000  2 Nb 2.03
F 0.5000 0.5000 0.0000  2 Nb 2.08

## Properties
Space-group type: P4/mmm (123)
Density of states at the Fermi level: 0.937 states/eV per atom
Formation energy without anion corrections: -152 kJ per mole of atoms
Theoretical density: 4.67 g/cm³
E: -37.611 eV/cell

***

This record from the Alexandria database describes an optimized crystal structure of Li4NdCd5. The functional is PBE.

a = 3.4540 Å, b = 3.4540 Å, c = 17.1518 Å
α = 90.00°, β = 90.00°, γ = 90.00°
Last column: nearest neighbours and their distance in Å.
Fractional coordinates of all 10 atoms:
Li 0.0000 0.0000 0.0910  8 Cd 2.90-2.91, 2 Li 3.12-3.18
Li 0.0000 0.0000 0.2761  8 Cd 2.89-2.92, 1 Li 3.18
Li 0.0000 0.0000 0.7239  8 Cd 2.89-2.92, 1 Li 3.18
Li 0.0000 0.0000 0.9090  8 Cd 2.90-2.91, 2 Li 3.12-3.18
Nd 0.0000 0.0000 0.5000  8 Cd 3.35, 4 Nd 3.45
Cd 0.5000 0.5000 0.0000  8 Li 2.90, 2 Cd 3.14
Cd 0.5000 0.5000 0.1828  8 Li 2.91-2.92, 2 Cd 3.14-3.15
Cd 0.5000 0.5000 0.3666  4 Li 2.89, 1 Cd 3.15
Cd 0.5000 0.5000 0.6334  4 Li 2.89, 1 Cd 3.15
Cd 0.5000 0.5000 0.8172  8 Li 2.91-2.92, 2 Cd 3.14-3.15

## Properties
Space-group type: P4/mmm (123)
Density of states at the Fermi level: 0.567 states/eV per atom
Energy relative to the elements: -24.7 kJ per mole of atoms
Theoretical density: 5.96 g/cm³
E: -19.559 eV/cell

***

This record from the Alexandria database describes an optimized crystal structure of BaCdAgBi3. The functional is PBE.

a = 9.8354 Å, b = 9.8354 Å, c = 6.9722 Å
α = 90.00°, β = 90.00°, γ = 138.24°
Last column: nearest neighbours and their distance in Å.
Fractional coordinates of all 12 atoms:
Ba 0.1911 0.8089 0.7500  4 Bi 3.63-3.69, 2 Cd 3.88, 2 Ag 3.94
Ba 0.8089 0.1911 0.2500  4 Bi 3.63-3.69, 2 Cd 3.88, 2 Ag 3.94
Cd 0.3990 0.6010 0.2500  5 Bi 2.82-3.11
Cd 0.6010 0.3990 0.7500  5 Bi 2.82-3.11
Ag 0.0918 0.9082 0.2500  5 Bi 2.82-2.97
Ag 0.9082 0.0918 0.7500  5 Bi 2.82-2.97
Bi 0.2440 0.2440 0.0000  2 Ag 2.97, 2 Cd 3.11
Bi 0.2440 0.2440 0.5000  2 Ag 2.97, 2 Cd 3.11
Bi 0.2455 0.7545 0.2500  1 Cd 2.82, 1 Ag 2.82
Bi 0.7545 0.2455 0.7500  1 Cd 2.82, 1 Ag 2.82
Bi 0.7560 0.7560 0.0000  2 Ag 2.97, 2 Cd 3.11
Bi 0.7560 0.7560 0.5000  2 Ag 2.97, 2 Cd 3.11

## Properties
Space-group type: Cmcm (63)
Density of states at the Fermi level: 0.594 states/eV per atom
Energy relative to the elements: -18.7 kJ per mole of atoms
Theoretical density: 7.28 g/cm³
E: -36.989 eV/cell

***

This record from the Alexandria database describes an optimized crystal structure of AlCoW2. The functional is PBE.

a = 8.9020 Å, b = 8.9020 Å, c = 8.9020 Å
α = 17.97°, β = 17.97°, γ = 17.97°
Last column: nearest neighbours and their distance in Å.
Fractional coordinates of all 4 atoms:
Al 0.0000 0.0000 0.0000  3 Co 2.53, 6 Al 2.78, 3 W 2.83
Co 0.7412 0.7412 0.7412  3 Al 2.53, 3 W 2.58, 6 Co 2.78
W 0.2445 0.2445 0.2445  9 W 2.78-2.92, 3 Al 2.83
W 0.4849 0.4849 0.4849  3 Co 2.58, 6 W 2.78

## Properties
Space-group type: R3m (160)
Density of states at the Fermi level: 0.985 states/eV per atom
Energy relative to the elements: 13.7 kJ per mole of atoms
Theoretical density: 12.85 g/cm³
E: -36.188 eV/cell

***

Question: Which value of density of states at the Fermi level does entry 7 give?
Answer: 0.594 states/eV per atom

***

What did the eighth record say?
This record from the Alexandria database describes an optimized crystal structure of AlCoW2. The functional is PBE.

a = 8.9020 Å, b = 8.9020 Å, c = 8.9020 Å
α = 17.97°, β = 17.97°, γ = 17.97°
Last column: nearest neighbours and their distance in Å.
Fractional coordinates of all 4 atoms:
Al 0.0000 0.0000 0.0000  3 Co 2.53, 6 Al 2.78, 3 W 2.83
Co 0.7412 0.7412 0.7412  3 Al 2.53, 3 W 2.58, 6 Co 2.78
W 0.2445 0.2445 0.2445  9 W 2.78-2.92, 3 Al 2.83
W 0.4849 0.4849 0.4849  3 Co 2.58, 6 W 2.78

## Properties
Space-group type: R3m (160)
Density of states at the Fermi level: 0.985 states/eV per atom
Energy relative to the elements: 13.7 kJ per mole of atoms
Theoretical density: 12.85 g/cm³
E: -36.188 eV/cell

***

Copy entry 1 word for word.
This record from the Alexandria database describes an optimized crystal structure of GdScCuSi. The functional is PBE.

a = 4.8077 Å, b = 4.8077 Å, c = 4.8077 Å
α = 60.00°, β = 60.00°, γ = 60.00°
Last column: nearest neighbours and their distance in Å.
Fractional coordinates of all 4 atoms:
Gd 0.0000 0.0000 0.0000  4 Si 2.94, 4 Cu 2.94
Sc 0.5000 0.5000 0.5000  4 Si 2.94, 4 Cu 2.94
Cu 0.2500 0.2500 0.2500  4 Gd 2.94, 4 Sc 2.94
Si 0.7500 0.7500 0.7500  4 Gd 2.94, 4 Sc 2.94

## Properties
Space-group type: F-43m (216)
Density of states at the Fermi level: 0.815 states/eV per atom
Formation energy without anion corrections: -42 kJ per mole of atoms
Theoretical density: 6.21 g/cm³
E: -31.653 eV/cell